Entry from Alexandria: NaVGa3 after structural relaxation (PBE).

Its calculated formation energy is 168 meV per atom. The relative energy among the computed polymorphs is 0.0 meV per atom. For the electronic total energy, the calculation gives -3.735 eV per atom. Its space-group type is Pm-3m, No. 221.

```
NaVGa3
1.0
-3.400 1.058 3.308
0.236 -4.548 1.697
3.465 1.348 3.131
Na Ga V
1 3 1
Direct
0.500 0.500 0.500
0.000 0.500 0.000
0.000 0.000 0.500
0.500 0.000 0.000
0.000 0.000 0.000
```